# 1
CdMo2Os (PBE, relaxed); total energy = -8.15 eV per atom; total magnetization = 0.000 μB/cell; space group = No. 47
1.0
4.0873 0.0000 0.0000
0.0000 2.8175 0.0084
0.0000 2.7963 5.7047
Cd Mo Os
1 2 1
Direct
0.5000 0.7500 0.7500
0.0000 0.9715 0.0293
0.0000 0.5285 0.4707
0.5000 0.2500 0.2500

---

# 2
LaZnB2Pt (PBE, relaxed); total energy = -4.54 eV per atom; total magnetization = 0.000 μB/cell; space group = No. 123
1.0
-0.7192 3.8976 1.4414
-3.7248 -1.6708 2.6593
2.6217 -0.7094 3.2264
Zn B Pt La
1 2 1 1
Direct
0.0000 0.0000 0.0000
0.0000 0.0000 0.5000
0.5000 0.0000 0.0000
0.0000 0.5000 0.0000
0.5000 0.5000 0.5000